Entry 1:
Entry from OQMD: a relaxed BaErAsO crystal (PBE).

Unit cell a=4.548 b=4.945 c=8.354 alpha=90.00 beta=90.00 gamma=90.00
Atoms (fractional coordinates):
1 Er 0.000 0.245 0.439
2 O 0.500 0.243 0.438
3 O 0.500 0.757 0.938
4 Er 0.000 0.755 0.939
5 As 0.000 0.255 0.775
6 As 0.000 0.745 0.275
7 Ba 0.500 0.256 0.102
8 Ba 0.500 0.744 0.602

Calculated values
**Total moment**: 0.006 Bohr magnetons per cell
**E_tot**: -5.962 eV per atom
**Offset from the most stable computed form**: 2.87 kcal/mol of atoms



Entry 2:
Entry from OQMD: a relaxed LiZnReOs crystal (PBE).

Unit cell a=4.203 b=4.203 c=4.203 alpha=60.00 beta=60.00 gamma=60.00
Atoms (fractional coordinates):
1 Zn 0.250 0.250 0.250
2 Os 0.000 0.000 0.000
3 Re 0.500 0.500 0.500
4 Li 0.750 0.750 0.750

Calculated values
**Total moment**: 0.022 Bohr magnetons per cell
**E_tot**: -6.015 eV per atom
**Offset from the most stable computed form**: 15.48 kcal/mol of atoms



Entry 3:
Entry from OQMD: a relaxed HfZnTe2 crystal (PBE).

Unit cell a=5.126 b=5.126 c=5.126 alpha=60.00 beta=60.00 gamma=60.00
Atoms (fractional coordinates):
1 Zn 0.500 0.500 0.500
2 Te 0.250 0.250 0.250
3 Te 0.000 0.000 0.000
4 Hf 0.750 0.750 0.750

Calculated values
**Total moment**: 0.006 Bohr magnetons per cell
**E_tot**: -4.126 eV per atom



Entry 4:
Entry from OQMD: a relaxed Sc2TcSn2 crystal (PBE).

Unit cell a=3.916 b=3.916 c=7.520 alpha=105.09 beta=105.09 gamma=90.00
Atoms (fractional coordinates):
1 Tc 0.000 0.000 0.000
2 Sc 0.750 0.250 0.500
3 Sc 0.250 0.750 0.500
4 Sn 0.405 0.405 0.810
5 Sn 0.595 0.595 0.190

Calculated values
**Total moment**: 0.200 Bohr magnetons per cell
**E_tot**: -5.850 eV per atom
**Offset from the most stable computed form**: 0.63 kcal/mol of atoms